# 1
PBE CoMo, optimized geometry; space-group type = Fd-3m; Fermi-level density of states = 6.19 states/eV per cell; total magnetic moment = 0.00 μB per cell; formation energy = 246 meV/atom
1.0
-2.7055 -1.6754 2.7695
0.8012 -3.7701 1.7149
1.0566 -0.2824 4.0744
Co Mo
2 2
direct
0.0000 0.0000 0.0000 Co
0.7500 0.7500 0.7500 Co
0.2500 0.2500 0.2500 Mo
0.5000 0.5000 0.5000 Mo

# 2
PBE Co3Mo2, optimized geometry; space-group type = Fdd2; offset from the most stable computed form = 0 meV/atom; Fermi-level density of states = 10.53 states/eV per cell; total magnetic moment = 0.00 μB per cell; formation energy = 84 meV/atom
1.0
3.6515 -5.6859 2.7267
-0.6241 -4.4879 4.6779
0.1790 -4.1186 -2.5551
Co Mo
6 4
direct
0.7908 0.4269 0.3169 Co
0.4654 0.3169 0.4269 Co
0.8231 0.4592 0.7846 Co
0.9331 0.7846 0.4592 Co
0.0046 0.9954 0.9954 Co
0.2546 0.2454 0.2454 Co
0.2374 0.8677 0.3931 Mo
0.5018 0.3931 0.8677 Mo
0.3823 0.0126 0.7482 Mo
0.8569 0.7482 0.0126 Mo

# 3
PBE CoMo4, optimized geometry; space-group type = I4/m; offset from the most stable computed form = 0 meV/atom; Fermi-level density of states = 4.31 states/eV per cell; total magnetic moment = 1.72 μB per cell; formation energy = 149 meV/atom
1.0
1.6783 -3.7189 -3.1111
0.1107 1.7584 4.8189
-4.8394 -1.6915 0.2116
Co Mo
1 4
direct
0.0000 0.0000 0.0000 Co
0.3947 0.2001 0.5947 Mo
0.6053 0.7999 0.4053 Mo
0.7999 0.3947 0.1946 Mo
0.2001 0.6053 0.8054 Mo

# 4
PBE Co4Mo3, optimized geometry; space-group type = I4/mmm; offset from the most stable computed form = 0 meV/atom; Fermi-level density of states = 7.77 states/eV per cell; total magnetic moment = 0.02 μB per cell; formation energy = 140 meV/atom
1.0
-1.5418 1.5418 9.4594
1.5418 -1.5418 9.4594
1.5418 1.5418 -9.4594
Co Mo
4 3
direct
0.1399 0.1399 0.0000 Co
0.4314 0.4314 0.0000 Co
0.5686 0.5686 0.0000 Co
0.8601 0.8601 0.0000 Co
0.0000 0.0000 0.0000 Mo
0.2959 0.2959 0.0000 Mo
0.7041 0.7041 0.0000 Mo

# 5
PBE CoMo, optimized geometry; space-group type = P-6m2; Fermi-level density of states = 2.29 states/eV per cell; total magnetic moment = 0.49 μB per cell; formation energy = 207 meV/atom
1.0
2.7022 0.0000 0.0000
-1.3511 2.3402 0.0000
0.0000 0.0000 4.2172
Mo Co
1 1
direct
0.3333 0.6667 0.0000 Mo
0.6667 0.3333 0.5000 Co

# 6
PBE Co3Mo4, optimized geometry; space-group type = I4/mmm; offset from the most stable computed form = 191 meV/atom; Fermi-level density of states = 8.54 states/eV per cell; total magnetic moment = 1.33 μB per cell; formation energy = 194 meV/atom
1.0
9.3114 3.0022 2.4406
7.3357 2.6626 6.3852
-7.6795 -4.9443 -4.2721
Co Mo
3 4
direct
0.0000 0.0000 0.0000 Co
0.7160 0.7160 0.0000 Co
0.2840 0.2840 0.0000 Co
0.8465 0.8465 0.0000 Mo
0.5740 0.5740 0.0000 Mo
0.4260 0.4260 0.0000 Mo
0.1535 0.1535 0.0000 Mo

# 7
PBE CoMo, optimized geometry; space-group type = Pmmn; Fermi-level density of states = 4.44 states/eV per cell; total magnetic moment = 0.00 μB per cell; formation energy = 138 meV/atom
1.0
2.7414 0.0000 0.0000
0.0000 3.4795 0.0000
0.0000 0.0000 5.5425
Co Mo
2 2
direct
0.0000 0.0000 0.9948 Co
0.5000 0.5000 0.7552 Co
0.0000 0.0000 0.5328 Mo
0.5000 0.5000 0.2172 Mo

# 8
PBE CoMo, optimized geometry; space-group type = Cm; Fermi-level density of states = 7.01 states/eV per cell; total magnetic moment = 1.10 μB per cell; formation energy = 112 meV/atom
1.0
0.0094 -3.9457 -3.1939
1.9932 -4.4173 -1.5112
-3.5029 -4.3825 2.9016
Co Mo
3 3
direct
0.9998 0.9998 0.0034 Co
0.6030 0.6030 0.2712 Co
0.6710 0.6710 0.6678 Co
0.3280 0.3280 0.3321 Mo
0.9651 0.9651 0.6122 Mo
0.2664 0.2664 0.9467 Mo

# 9
PBE Co6Mo7, optimized geometry; space-group type = R-3m; Fermi-level density of states = 14.09 states/eV per cell; total magnetic moment = 4.12 μB per cell; formation energy = 502 meV/atom
1.0
-7.7961 -4.6099 0.3632
-4.1720 -7.8571 1.7385
-5.9853 -4.5268 5.0838
Mo Co
7 6
direct
0.4131 0.9185 0.4131 Mo
0.9185 0.4131 0.4131 Mo
0.4131 0.4131 0.9185 Mo
0.5869 0.0815 0.5869 Mo
0.5869 0.5869 0.0815 Mo
0.0815 0.5869 0.5869 Mo
0.5000 0.5000 0.5000 Mo
0.9564 0.9564 0.9564 Co
0.0436 0.0436 0.0436 Co
0.8505 0.8505 0.8505 Co
0.1495 0.1495 0.1495 Co
0.6666 0.6666 0.6666 Co
0.3334 0.3334 0.3334 Co

# 10
PBE CoMo, optimized geometry; space-group type = P6_3/m; Fermi-level density of states = 14.82 states/eV per cell; total magnetic moment = 0.01 μB per cell; formation energy = 402 meV/atom
1.0
-3.6513 5.5954 -2.2480
-3.3953 -5.7820 2.1759
-0.0757 1.4324 3.6882
Co Mo
6 6
direct
0.7790 0.9592 0.2500 Co
0.8198 0.7790 0.7500 Co
0.0408 0.8198 0.2500 Co
0.2210 0.0408 0.7500 Co
0.1802 0.2210 0.2500 Co
0.9592 0.1802 0.7500 Co
0.8987 0.3642 0.2500 Mo
0.5345 0.8987 0.7500 Mo
0.6358 0.5345 0.2500 Mo
0.1013 0.6358 0.7500 Mo
0.4655 0.1013 0.2500 Mo
0.3642 0.4655 0.7500 Mo

# 11
PBE Co5Mo4, optimized geometry; space-group type = I4/mmm; offset from the most stable computed form = 0 meV/atom; Fermi-level density of states = 8.73 states/eV per cell; total magnetic moment = 2.31 μB per cell; formation energy = 85 meV/atom
1.0
-4.0371 4.0371 1.7680
4.0371 -4.0371 1.7680
4.0371 4.0371 -1.7680
Co Mo
5 4
direct
0.0000 0.0000 0.0000 Co
0.3405 0.3405 0.6811 Co
0.3405 0.6595 0.0000 Co
0.6595 0.3405 0.0000 Co
0.6595 0.6595 0.3189 Co
0.0000 0.3157 0.3157 Mo
0.0000 0.6843 0.6843 Mo
0.3157 0.0000 0.3157 Mo
0.6843 0.0000 0.6843 Mo

# 12
PBE CoMo, optimized geometry; space-group type = P4_2/mnm; Fermi-level density of states = 11.14 states/eV per cell; total magnetic moment = 0.00 μB per cell; formation energy = 650 meV/atom
1.0
4.9306 0.0000 0.0000
0.0000 4.9306 0.0000
0.0000 0.0000 4.6560
Co Mo
4 4
direct
0.1749 0.8251 0.0000 Co
0.6749 0.6749 0.5000 Co
0.3251 0.3251 0.5000 Co
0.8251 0.1749 0.0000 Co
0.3106 0.3106 0.0000 Mo
0.8106 0.1894 0.5000 Mo
0.1894 0.8106 0.5000 Mo
0.6894 0.6894 0.0000 Mo

# 13
PBE CoMo, optimized geometry; space-group type = I-43m; Fermi-level density of states = 10.69 states/eV per cell; total magnetic moment = 0.00 μB per cell; formation energy = 1577 meV/atom
1.0
7.2670 0.0000 0.0000
0.0000 7.2670 0.0000
0.0000 0.0000 7.2670
Co Mo
8 8
direct
0.1712 0.1712 0.1712 Co
0.1712 0.8288 0.8288 Co
0.8288 0.1712 0.8288 Co
0.8288 0.8288 0.1712 Co
0.6712 0.6712 0.6712 Co
0.6712 0.3288 0.3288 Co
0.3288 0.6712 0.3288 Co
0.3288 0.3288 0.6712 Co
0.3560 0.3560 0.3560 Mo
0.3560 0.6440 0.6440 Mo
0.6440 0.3560 0.6440 Mo
0.6440 0.6440 0.3560 Mo
0.8560 0.8560 0.8560 Mo
0.8560 0.1440 0.1440 Mo
0.1440 0.8560 0.1440 Mo
0.1440 0.1440 0.8560 Mo

# 14
PBE CoMo4, optimized geometry; space-group type = Pm-3m; offset from the most stable computed form = 1116 meV/atom; Fermi-level density of states = 5.57 states/eV per cell; total magnetic moment = 0.00 μB per cell; formation energy = 1264 meV/atom
1.0
-3.1507 1.5094 2.6989
-0.2933 -3.9815 1.8844
3.0784 1.1655 2.9418
Mo Co
4 1
direct
0.0000 0.0000 0.0000 Mo
0.5000 0.0000 0.5000 Mo
0.0000 0.5000 0.5000 Mo
0.5000 0.5000 0.0000 Mo
0.5000 0.5000 0.5000 Co

# 15
PBE CoMo, optimized geometry; space-group type = P-3m1; Fermi-level density of states = 4.79 states/eV per cell; total magnetic moment = 1.66 μB per cell; formation energy = 258 meV/atom
1.0
-1.9786 -1.4602 1.1112
2.4252 -1.1083 -0.4146
2.4997 2.5510 7.8033
Co Mo
2 2
direct
0.0000 0.0000 0.0124 Co
0.3333 0.6667 0.2376 Co
0.0000 0.0000 0.4790 Mo
0.3333 0.6667 0.7710 Mo

# 16
PBE CoMo4, optimized geometry; space-group type = I4/mmm; offset from the most stable computed form = 979 meV/atom; Fermi-level density of states = 6.74 states/eV per cell; total magnetic moment = 1.91 μB per cell; formation energy = 1128 meV/atom
1.0
-2.0404 2.0404 5.4998
2.0404 -2.0404 5.4998
2.0404 2.0404 -5.4998
Co Mo
1 4
direct
0.0000 0.0000 0.0000 Co
0.7500 0.2500 0.5000 Mo
0.3863 0.3863 0.0000 Mo
0.6137 0.6137 0.0000 Mo
0.2500 0.7500 0.5000 Mo

# 17
PBE CoMo, optimized geometry; space-group type = I4_1/amd; Fermi-level density of states = 5.70 states/eV per cell; total magnetic moment = 0.00 μB per cell; formation energy = 165 meV/atom
1.0
4.6111 -0.0018 0.0017
1.5942 4.3267 -0.0017
-3.1050 -2.1591 2.6381
Co Mo
2 2
direct
0.0000 0.0000 0.0000 Co
0.2500 0.7500 0.5000 Co
0.5000 0.5000 0.0000 Mo
0.7500 0.2500 0.5000 Mo

# 18
PBE CoMo, optimized geometry; space-group type = P2_13; Fermi-level density of states = 12.25 states/eV per cell; total magnetic moment = 0.00 μB per cell; formation energy = 255 meV/atom
1.0
4.7579 0.0000 0.0000
0.0000 4.7579 0.0000
0.0000 0.0000 4.7579
Co Mo
4 4
direct
0.3970 0.3970 0.3970 Co
0.1030 0.6030 0.8970 Co
0.6030 0.8970 0.1030 Co
0.8970 0.1030 0.6030 Co
0.0992 0.0992 0.0992 Mo
0.4008 0.9008 0.5992 Mo
0.9008 0.5992 0.4008 Mo
0.5992 0.4008 0.9008 Mo

# 19
PBE CoMo, optimized geometry; space-group type = Pnma; Fermi-level density of states = 13.96 states/eV per cell; total magnetic moment = 0.19 μB per cell; formation energy = 75 meV/atom
1.0
9.8223 0.0000 0.0000
0.0000 4.1163 0.0000
0.0000 0.0000 5.1903
Co Mo
8 8
direct
0.4149 0.2500 0.8776 Co
0.9149 0.2500 0.6224 Co
0.5851 0.7500 0.1224 Co
0.0851 0.7500 0.3776 Co
0.6926 0.2500 0.3637 Co
0.1926 0.2500 0.1363 Co
0.3074 0.7500 0.6363 Co
0.8074 0.7500 0.8637 Co
0.4430 0.2500 0.3852 Mo
0.9430 0.2500 0.1148 Mo
0.5570 0.7500 0.6148 Mo
0.0570 0.7500 0.8852 Mo
0.6775 0.2500 0.8731 Mo
0.1775 0.2500 0.6269 Mo
0.3225 0.7500 0.1269 Mo
0.8225 0.7500 0.3731 Mo

# 20
PBE Co3Mo2, optimized geometry; space-group type = R-3m; offset from the most stable computed form = 159 meV/atom; Fermi-level density of states = 6.45 states/eV per cell; total magnetic moment = 0.93 μB per cell; formation energy = 243 meV/atom
1.0
10.6919 -1.3244 0.0030
10.6919 1.3244 0.0030
10.5273 0.0000 2.2910
Co Mo
3 2
direct
0.0000 0.0000 0.0000 Co
0.8027 0.8027 0.8027 Co
0.1973 0.1973 0.1973 Co
0.5983 0.5983 0.5983 Mo
0.4017 0.4017 0.4017 Mo

# 21
PBE CoMo, optimized geometry; space-group type = P4/mmm; Fermi-level density of states = 1.65 states/eV per cell; total magnetic moment = 0.00 μB per cell; formation energy = 40 meV/atom
1.0
2.6531 0.0000 0.0000
0.0000 2.6531 0.0000
0.0000 0.0000 3.7019
Mo Co
1 1
direct
0.5000 0.5000 0.5000 Mo
0.0000 0.0000 0.0000 Co

# 22
PBE Co3MoN, optimized geometry; space-group type = Pm-3m; offset from the most stable computed form = 0 meV/atom; Fermi-level density of states = 5.47 states/eV per cell; E_form (uncorrected) = 241 meV per atom; total magnetic moment = 5.00 μB per cell
1.0
3.7983 0.0000 0.0000
0.0000 3.7983 0.0000
0.0000 0.0000 3.7983
Mo Co N
1 3 1
direct
0.5000 0.5000 0.5000 Mo
0.0000 0.5000 0.0000 Co
0.0000 0.0000 0.5000 Co
0.5000 0.0000 0.0000 Co
0.0000 0.0000 0.0000 N

# 23
PBE CoMoN2, optimized geometry; space-group type = R3m; Fermi-level density of states = 4.04 states/eV per cell; E_form (uncorrected) = 175 meV per atom; total magnetic moment = 2.36 μB per cell
1.0
-2.0511 1.7774 -0.9976
-1.9791 1.0833 1.8086
1.8553 5.1865 1.2351
Co Mo N
1 1 2
direct
0.5034 0.5034 0.4898 Co
0.6667 0.6667 0.0000 Mo
0.0806 0.0806 0.7583 N
0.2494 0.2494 0.2519 N

# 24
PBE CoMo3N, optimized geometry; space-group type = Pm-3m; offset from the most stable computed form = 73 meV/atom; Fermi-level density of states = 6.13 states/eV per cell; E_form (uncorrected) = 18 meV per atom; total magnetic moment = 1.00 μB per cell
1.0
-2.7705 -1.7160 2.4237
-1.4552 -2.1051 -3.1538
2.5888 -3.0198 0.8212
Mo Co N
3 1 1
direct
0.0000 0.5000 0.0000 Mo
0.0000 0.0000 0.5000 Mo
0.5000 0.0000 0.0000 Mo
0.5000 0.5000 0.5000 Co
0.0000 0.0000 0.0000 N

# 25
PBE CoMoN2, optimized geometry; space-group type = R-3m; Fermi-level density of states = 4.02 states/eV per cell; E_form (uncorrected) = 550 meV per atom; total magnetic moment = 0.00 μB per cell
1.0
-2.9577 -3.7670 3.8104
-0.4305 -5.1246 3.3183
-0.5792 -3.0004 5.3028
Mo Co N
1 1 2
direct
0.0000 0.0000 0.0000 Mo
0.5000 0.5000 0.5000 Co
0.8902 0.8902 0.8902 N
0.1098 0.1098 0.1098 N

# 26
PBE CoMo3N, optimized geometry; space-group type = C2/m; offset from the most stable computed form = 0 meV/atom; Fermi-level density of states = 9.71 states/eV per cell; E_form (uncorrected) = -55 meV per atom; total magnetic moment = 0.00 μB per cell
1.0
-0.3640 -2.6298 -1.2905
4.7432 -2.2558 -0.1114
0.2286 -3.8863 7.8512
Co Mo N
2 6 2
direct
0.8122 0.9443 0.1524 Co
0.8760 0.8163 0.9067 Co
0.2183 0.1294 0.3411 Mo
0.5192 0.5288 0.1153 Mo
0.1690 0.2320 0.9438 Mo
0.7313 0.1062 0.6191 Mo
0.4699 0.6313 0.7180 Mo
0.9570 0.6545 0.4400 Mo
0.1116 0.3470 0.6975 N
0.5766 0.4137 0.3616 N

Number 1: VASP energy -34.89 eV per cell. Number 2: VASP energy -85.12 eV per cell. Number 3: VASP energy -49.69 eV per cell. Number 4: VASP energy -59.94 eV per cell. Number 5: VASP energy -17.52 eV per cell. Number 6: VASP energy -63.29 eV per cell. Number 7: VASP energy -35.32 eV per cell. Number 8: VASP energy -53.14 eV per cell. Number 9: VASP energy -111.93 eV per cell. Number 10: VASP energy -102.79 eV per cell. Number 11: VASP energy -78.09 eV per cell. Number 12: VASP energy -66.55 eV per cell. Number 13: VASP energy -118.26 eV per cell. Number 14: VASP energy -44.11 eV per cell. Number 15: VASP energy -34.84 eV per cell. Number 16: VASP energy -44.79 eV per cell. Number 17: VASP energy -35.22 eV per cell. Number 18: VASP energy -69.71 eV per cell. Number 19: VASP energy -142.30 eV per cell. Number 20: VASP energy -41.76 eV per cell. Number 21: VASP energy -17.86 eV per cell. Number 22: VASP energy -39.27 eV per cell. Number 23: VASP energy -33.89 eV per cell. Number 24: VASP energy -47.84 eV per cell. Number 25: VASP energy -32.39 eV per cell. Number 26: VASP energy -96.40 eV per cell.